First-principles (GGA-PBE) data for crystalline Sc2FeSe at its relaxed geometry, as listed in Alexandria via LeMat-Bulk.

a = 4.009 Å, b = 5.263 Å, c = 5.263 Å
α = 39.22°, β = 90.00°, γ = 90.00°
Element x y z (fractional)
Sc1 0.000 0.000 0.000
Sc2 0.500 0.291 0.291
Fe1 0.000 0.735 0.735
Se1 0.500 0.574 0.574

Output
- DOS(E_F): 2.97 states/eV per cell
- ΔE_f (raw): -0.730 eV/atom


First-principles (GGA-PBE) data for crystalline Sc2FeSe at its relaxed geometry, as listed in Alexandria via LeMat-Bulk.

a = 7.327 Å, b = 7.327 Å, c = 7.327 Å
α = 28.04°, β = 28.04°, γ = 28.04°
Element x y z (fractional)
Sc1 0.248 0.248 0.248
Sc2 0.752 0.752 0.752
Fe1 0.500 0.500 0.500
Se1 0.000 0.000 0.000

Output
- DOS(E_F): 2.83 states/eV per cell
- ΔE_f (raw): -0.592 eV/atom


First-principles (GGA-PBE) data for crystalline Sc2FeSe at its relaxed geometry, as listed in Alexandria via LeMat-Bulk.

a = 3.395 Å, b = 3.395 Å, c = 6.569 Å
α = 90.00°, β = 90.00°, γ = 90.00°
Element x y z (fractional)
Sc1 0.000 0.000 0.000
Sc2 0.500 0.500 0.336
Fe1 0.500 0.500 0.770
Se1 0.000 0.000 0.572

Output
- DOS(E_F): 4.16 states/eV per cell
- ΔE_f (raw): -0.308 eV/atom


First-principles (GGA-PBE) data for crystalline ScFeSe2 at its relaxed geometry, as listed in Alexandria via LeMat-Bulk.

a = 8.040 Å, b = 8.040 Å, c = 8.040 Å
α = 27.75°, β = 27.75°, γ = 27.75°
Element x y z (fractional)
Sc1 0.000 0.000 0.000
Fe1 0.500 0.500 0.500
Se1 0.399 0.399 0.399
Se2 0.601 0.601 0.601

Output
- DOS(E_F): 2.57 states/eV per cell
- ΔE_f (raw): -0.639 eV/atom